LiZnGa2Pd4 | PBE | relaxed

Cell lengths 4.328, 4.328, 6.121 Å; angles 90.00, 90.00, 90.00 degrees
Element x y z (fractional)
Pd 0.000 0.500 0.251
Zn 0.500 0.500 0.000
Li 0.000 0.000 0.500
Pd 0.500 0.000 0.251
Ga 0.500 0.500 0.500
Pd 0.500 0.000 0.749
Pd 0.000 0.500 0.749
Ga 0.000 0.000 0.000

Calculated values
volume = 14.33 Å³ per atom
space-group type = P4/mmm (123)
electronic total energy = -35.13 eV per cell